No. 1
Entry from Alexandria via LeMat-Bulk: a geometry-optimized Mn2AgSb2 structure (GGA-PBE).

Properties
The value obtained for the formation energy from raw total energies is 0.35 eV per atom. As for the energy relative to the lowest polymorph listed for this composition: 178 meV per atom.

Cell: 3.9980 3.9980 12.8589 Å, 90.00 90.00 90.00°
Space group I4/mmm (No. 139)
Asymmetric unit:
Mn1 0.0000 0.5000 0.2500 [4 per cell]
Ag1 0.0000 0.0000 0.0000 [2 per cell]
Sb1 0.0000 0.0000 0.3816 [4 per cell]

=====

No. 2
Entry from Alexandria via LeMat-Bulk: a geometry-optimized MnAg3Sb structure (GGA-PBE).

Properties
The value obtained for the formation energy from raw total energies is 0.82 eV per atom. As for the energy relative to the lowest polymorph listed for this composition: 0 meV per atom.

Cell: 5.2342 5.2342 5.2342 Å, 90.00 90.00 90.00°
Space group Pm-3m (No. 221)
Asymmetric unit:
Mn1 0.0000 0.0000 0.0000 [1 per cell]
Ag1 0.0000 0.5000 0.5000 [3 per cell]
Sb1 0.5000 0.5000 0.5000 [1 per cell]

=====

No. 3
Entry from Alexandria via LeMat-Bulk: a geometry-optimized Mn2AgSb2 structure (GGA-PBE).

Properties
The value obtained for the formation energy from raw total energies is 0.17 eV per atom. As for the energy relative to the lowest polymorph listed for this composition: 0 meV per atom.

Cell: 7.3477 7.3477 3.5419 Å, 90.00 90.00 90.00°
Space group P4/mbm (No. 127)
Asymmetric unit:
Mn1 0.1279 0.3721 0.0000 [4 per cell]
Ag1 0.0000 0.0000 0.0000 [2 per cell]
Sb1 0.1669 0.6669 0.5000 [4 per cell]

=====

Number 1: density 7.45 Mg/m³. Number 2: density 5.79 Mg/m³. Number 3: density 8.01 Mg/m³.